No. 1
VASP calculation (PBE) on a relaxed structure of Ca2ScAlBi.

Cell: 5.874 5.507 5.874 Å, 90.00 90.00 90.00°
Fractional coordinates of all 5 atoms:
Bi1 0.000 0.000 0.000
Sc1 0.500 0.500 0.500
Ca1 0.500 0.000 0.000
Ca2 0.000 0.000 0.500
Al1 0.000 0.500 0.000

Results
- VASP energy: -3.145 eV per atom
- Spin magnetization: 0.49 μB/cell
- DOS at the Fermi energy: 7.28 states/eV/cell
- Crystal system: tetragonal
- Volume: 190.0 Å³/cell
- Energy relative to the elements: 0.447 eV/atom

---

No. 2
VASP calculation (PBE) on a relaxed structure of SrCa2AlBi.

Cell: 5.755 5.954 5.755 Å, 90.00 90.00 90.00°
Fractional coordinates of all 5 atoms:
Sr1 0.000 0.500 0.000
Bi1 0.500 0.500 0.500
Al1 0.000 0.000 0.000
Ca1 0.000 0.000 0.500
Ca2 0.500 0.000 0.000

Results
- VASP energy: -2.729 eV per atom
- Spin magnetization: 0.00 μB/cell
- DOS at the Fermi energy: 6.19 states/eV/cell
- Crystal system: tetragonal
- Volume: 197.2 Å³/cell
- Energy relative to the elements: -0.067 eV/atom

---

No. 3
VASP calculation (PBE) on a relaxed structure of AlCd2Bi.

Cell: 3.715 3.715 7.107 Å, 90.00 90.00 90.00°
Fractional coordinates of all 4 atoms:
Cd1 0.000 0.000 0.785
Al1 0.500 0.500 0.000
Cd2 0.000 0.000 0.215
Bi1 0.500 0.500 0.500

Results
- VASP energy: -2.171 eV per atom
- Spin magnetization: 0.00 μB/cell
- DOS at the Fermi energy: 1.66 states/eV/cell
- Crystal system: tetragonal
- Volume: 98.1 Å³/cell
- Energy relative to the elements: 0.193 eV/atom

---

No. 4
VASP calculation (PBE) on a relaxed structure of AlCd2Bi.

Cell: 4.636 4.636 6.248 Å, 68.22 68.22 60.00°
Fractional coordinates of all 4 atoms:
Bi1 0.499 0.499 0.504
Cd1 0.266 0.266 0.202
Al1 0.673 0.673 0.981
Cd2 0.063 0.063 0.812

Results
- VASP energy: -2.195 eV per atom
- Spin magnetization: 0.00 μB/cell
- DOS at the Fermi energy: 1.47 states/eV/cell
- Crystal system: trigonal
- Volume: 105.1 Å³/cell
- Energy relative to the elements: 0.168 eV/atom

---

No. 5
VASP calculation (PBE) on a relaxed structure of AlCdBi3.

Cell: 5.708 5.708 5.708 Å, 90.00 90.00 90.00°
Fractional coordinates of all 5 atoms:
Bi1 0.000 0.500 0.000
Bi2 0.500 0.000 0.000
Al1 0.500 0.500 0.500
Cd1 0.000 0.000 0.000
Bi3 0.000 0.000 0.500

Results
- VASP energy: -2.484 eV per atom
- Spin magnetization: 0.00 μB/cell
- DOS at the Fermi energy: 3.97 states/eV/cell
- Crystal system: cubic
- Volume: 186.0 Å³/cell
- Energy relative to the elements: 0.776 eV/atom

---

No. 6
VASP calculation (PBE) on a relaxed structure of AlCd2Bi.

Cell: 8.299 8.299 6.592 Å, 50.99 50.99 90.00°
Fractional coordinates of all 8 atoms:
Cd1 0.150 0.625 0.250
Bi1 0.000 0.000 0.000
Cd2 0.375 0.400 0.750
Bi2 0.750 0.250 0.500
Cd3 0.875 0.850 0.750
Al1 0.500 0.500 0.000
Cd4 0.600 0.125 0.250
Al2 0.250 0.750 0.500

Results
- VASP energy: -2.146 eV per atom
- Spin magnetization: 0.00 μB/cell
- DOS at the Fermi energy: 4.25 states/eV/cell
- Crystal system: tetragonal
- Volume: 206.9 Å³/cell
- Energy relative to the elements: 0.218 eV/atom

---

No. 7
VASP calculation (PBE) on a relaxed structure of AlCdBi.

Cell: 5.414 4.159 4.159 Å, 120.00 90.00 90.00°
Fractional coordinates of all 3 atoms:
Bi1 0.629 0.667 0.333
Cd1 0.033 0.000 0.000
Al1 0.338 0.333 0.667

Results
- VASP energy: -2.646 eV per atom
- Spin magnetization: 0.00 μB/cell
- DOS at the Fermi energy: 0.95 states/eV/cell
- Crystal system: trigonal
- Volume: 81.1 Å³/cell
- Energy relative to the elements: 0.201 eV/atom

---

No. 8
VASP calculation (PBE) on a relaxed structure of Al2CdBi.

Cell: 6.828 6.828 7.280 Å, 62.03 62.03 90.00°
Fractional coordinates of all 8 atoms:
Al1 0.875 0.869 0.750
Cd1 0.500 0.500 0.000
Bi1 0.750 0.250 0.500
Bi2 0.000 0.000 0.000
Al2 0.619 0.125 0.250
Al3 0.131 0.625 0.250
Al4 0.375 0.381 0.750
Cd2 0.250 0.750 0.500

Results
- VASP energy: -2.661 eV per atom
- Spin magnetization: 0.00 μB/cell
- DOS at the Fermi energy: 2.83 states/eV/cell
- Crystal system: tetragonal
- Volume: 254.0 Å³/cell
- Energy relative to the elements: 0.409 eV/atom

---

No. 9
VASP calculation (PBE) on a relaxed structure of AlCdBi.

Cell: 4.605 3.946 8.748 Å, 90.00 105.48 90.00°
Fractional coordinates of all 6 atoms:
Al1 0.564 0.750 0.620
Bi1 0.698 0.250 0.887
Bi2 0.302 0.750 0.113
Cd1 0.071 0.250 0.638
Cd2 0.929 0.750 0.362
Al2 0.436 0.250 0.380

Results
- VASP energy: -2.720 eV per atom
- Spin magnetization: 0.00 μB/cell
- DOS at the Fermi energy: 1.38 states/eV/cell
- Crystal system: monoclinic
- Volume: 153.2 Å³/cell
- Energy relative to the elements: 0.126 eV/atom

---

No. 10
VASP calculation (PBE) on a relaxed structure of Al2CdBi.

Cell: 5.142 5.142 5.142 Å, 60.00 60.00 60.00°
Fractional coordinates of all 4 atoms:
Al1 0.750 0.750 0.750
Cd1 0.000 0.000 0.000
Al2 0.250 0.250 0.250
Bi1 0.500 0.500 0.500

Results
- VASP energy: -2.797 eV per atom
- Spin magnetization: 0.00 μB/cell
- DOS at the Fermi energy: 1.81 states/eV/cell
- Crystal system: cubic
- Volume: 96.1 Å³/cell
- Energy relative to the elements: 0.273 eV/atom

---

No. 11
VASP calculation (PBE) on a relaxed structure of AlCdBi.

Cell: 3.363 3.363 7.029 Å, 103.84 103.84 90.00°
Fractional coordinates of all 3 atoms:
Bi1 0.009 0.009 0.017
Al1 0.676 0.676 0.353
Cd1 0.315 0.315 0.630

Results
- VASP energy: -2.655 eV per atom
- Spin magnetization: 0.00 μB/cell
- DOS at the Fermi energy: 1.16 states/eV/cell
- Crystal system: tetragonal
- Volume: 74.8 Å³/cell
- Energy relative to the elements: 0.191 eV/atom

---

No. 12
VASP calculation (PBE) on a relaxed structure of AlCd2Bi.

Cell: 5.235 5.235 5.235 Å, 60.00 60.00 60.00°
Fractional coordinates of all 4 atoms:
Bi1 0.500 0.500 0.500
Al1 0.000 0.000 0.000
Cd1 0.750 0.750 0.750
Cd2 0.250 0.250 0.250

Results
- VASP energy: -2.156 eV per atom
- Spin magnetization: 0.00 μB/cell
- DOS at the Fermi energy: 1.62 states/eV/cell
- Crystal system: cubic
- Volume: 101.5 Å³/cell
- Energy relative to the elements: 0.208 eV/atom

---

No. 13
VASP calculation (PBE) on a relaxed structure of AlCdBi3.

Cell: 5.508 5.508 5.508 Å, 90.00 90.00 90.00°
Fractional coordinates of all 5 atoms:
Al1 0.000 0.000 0.000
Bi1 0.000 0.500 0.000
Bi2 0.500 0.000 0.000
Bi3 0.000 0.000 0.500
Cd1 0.500 0.500 0.500

Results
- VASP energy: -2.737 eV per atom
- Spin magnetization: 0.00 μB/cell
- DOS at the Fermi energy: 3.40 states/eV/cell
- Crystal system: cubic
- Volume: 167.1 Å³/cell
- Energy relative to the elements: 0.523 eV/atom